DFT (PBE+U) results for crystalline LiCr2O3 at its relaxed geometry.

Offset from the most stable computed form: 0 meV/atom
Raw total energy: -7.1546 eV/atom
Magnetic moment: 7.00 μB/f.u.

Cell: 5.1796 5.2773 5.3711 Å, 81.02 102.69 61.17°
Element x y z (fractional)
Cr: 0.7520 0.7556 0.2525
Cr: 0.2487 0.2384 0.7477
Cr: 0.4176 0.4106 0.2491
Cr: 0.5825 0.5890 0.7484
O: 0.1872 0.6300 0.4900
O: 0.8102 0.3706 0.4959
O: 0.5170 0.0097 0.4682
O: 0.3525 0.8157 0.9972
O: 0.6490 0.1590 0.0252
O: 0.9872 0.5196 0.0216
Li: 0.0845 0.0871 0.2396
Li: 0.9115 0.9147 0.7646